# RbIn6I8 | the Alexandria database | GGA-PBE | relaxed
data_RbIn6I8
_cell_length_a 12.5161
_cell_length_b 12.5161
_cell_length_c 15.1569
_cell_angle_alpha 90.00
_cell_angle_beta 90.00
_cell_angle_gamma 120.00
_symmetry_space_group_name_H-M 'R -3'
_symmetry_Int_Tables_number 148
_symmetry_space_group_name_Hall '-R 3'
loop_
_atom_site_label
_atom_site_type_symbol
_atom_site_fract_x
_atom_site_fract_y
_atom_site_fract_z
_atom_site_occupancy
Rb1 Rb 0.0000 0.0000 0.0000 1
In1 In 0.0010 0.8262 0.4056 1
I1 I 0.0000 0.0000 0.2456 1
I2 I 0.0018 0.6415 0.2726 1
# - Crystal system: trigonal
# - Energy relative to the elements, uncorrected: -0.528 eV per atom
# - Excess energy over the best structure of this formula in the dataset: 0.37 eV/f.u.
# - Total DFT energy (no corrections): -113.14 eV per cell
# - Fermi-level density of states: 0.699 states/eV/atom
# - Magnetic moment: 0.00 Bohr magnetons per cell


# RbInI4 | the Alexandria database | GGA-PBE | relaxed
data_RbInI4
_cell_length_a 9.6035
_cell_length_b 11.5837
_cell_length_c 14.0130
_cell_angle_alpha 90.00
_cell_angle_beta 122.40
_cell_angle_gamma 90.00
_symmetry_space_group_name_H-M 'P 1 21/c 1'
_symmetry_Int_Tables_number 14
loop_
_symmetry_equiv_pos_as_xyz
'x,y,z'
'-x,-y,-z'
'-x,y+1/2,-z+1/2'
'x,-y+1/2,z+1/2'
loop_
_atom_site_label
_atom_site_type_symbol
_atom_site_fract_x
_atom_site_fract_y
_atom_site_fract_z
_atom_site_occupancy
Rb1 Rb 0.1980 0.1736 0.3230 1
In1 In 0.3352 0.6748 0.2153 1
I1 I 0.1324 0.6337 0.6551 1
I2 I 0.2046 0.5143 0.2915 1
I3 I 0.3392 0.2200 0.1194 1
I4 I 0.3387 0.6116 0.0260 1
# - Crystal system: monoclinic
# - Energy relative to the elements, uncorrected: -0.865 eV per atom
# - Excess energy over the best structure of this formula in the dataset: 0.06 eV/f.u.
# - Total DFT energy (no corrections): -60.40 eV per cell
# - Fermi-level density of states: 0.000 states/eV/atom
# - Magnetic moment: 0.00 Bohr magnetons per cell


# RbIn2I2 | the Alexandria database | GGA-PBE | relaxed
data_RbIn2I2
_cell_length_a 9.5536
_cell_length_b 9.5536
_cell_length_c 5.0137
_cell_angle_alpha 90.00
_cell_angle_beta 90.00
_cell_angle_gamma 90.00
_symmetry_space_group_name_H-M 'P 4/m b m'
_symmetry_Int_Tables_number 127
_symmetry_space_group_name_Hall '-P 4 2ab'
loop_
_atom_site_label
_atom_site_type_symbol
_atom_site_fract_x
_atom_site_fract_y
_atom_site_fract_z
_atom_site_occupancy
Rb1 Rb 0.0000 0.0000 0.0000 1
In1 In 0.1137 0.3863 0.5000 1
I1 I 0.1591 0.6591 0.0000 1
# - Crystal system: tetragonal
# - Energy relative to the elements, uncorrected: -0.455 eV per atom
# - Excess energy over the best structure of this formula in the dataset: 1.09 eV/f.u.
# - Total DFT energy (no corrections): -23.64 eV per cell
# - Fermi-level density of states: 0.740 states/eV/atom
# - Magnetic moment: 0.00 Bohr magnetons per cell


# Rb12In3I5 | the Alexandria database | GGA-PBE | relaxed
data_Rb12In3I5
_cell_length_a 22.0709
_cell_length_b 22.0709
_cell_length_c 22.0709
_cell_angle_alpha 90.00
_cell_angle_beta 90.00
_cell_angle_gamma 90.00
_symmetry_space_group_name_H-M 'I a -3 d'
_symmetry_Int_Tables_number 230
_symmetry_space_group_name_Hall '-I 4bd 2c 3'
loop_
_atom_site_label
_atom_site_type_symbol
_atom_site_fract_x
_atom_site_fract_y
_atom_site_fract_z
_atom_site_occupancy
Rb1 Rb 0.0163 0.0684 0.6537 1
In1 In 0.0000 0.2500 0.1250 1
I1 I 0.0000 0.0000 0.0000 1
I2 I 0.0000 0.2500 0.3750 1
# - Crystal system: cubic
# - Energy relative to the elements, uncorrected: -0.601 eV per atom
# - Total DFT energy (no corrections): -316.83 eV per cell
# - Fermi-level density of states: 0.649 states/eV/atom
# - Magnetic moment: 51.70 Bohr magnetons per cell


# Rb3InI4 | the Alexandria database | GGA-PBE | relaxed
data_Rb3InI4
_cell_length_a 10.4143
_cell_length_b 14.7471
_cell_length_c 5.2202
_cell_angle_alpha 90.00
_cell_angle_beta 90.00
_cell_angle_gamma 90.00
_symmetry_space_group_name_H-M 'C m m m'
_symmetry_Int_Tables_number 65
_symmetry_space_group_name_Hall '-C 2 2'
loop_
_atom_site_label
_atom_site_type_symbol
_atom_site_fract_x
_atom_site_fract_y
_atom_site_fract_z
_atom_site_occupancy
Rb1 Rb 0.0000 0.0000 0.0000 1
Rb2 Rb 0.2500 0.2500 0.5000 1
In1 In 0.0000 0.5000 0.0000 1
I1 I 0.0000 0.2557 0.0000 1
I2 I 0.2401 0.5000 0.5000 1
# - Crystal system: orthorhombic
# - Energy relative to the elements, uncorrected: -1.231 eV per atom
# - Excess energy over the best structure of this formula in the dataset: 0.00 eV/f.u.
# - Total DFT energy (no corrections): -43.38 eV per cell
# - Fermi-level density of states: 0.000 states/eV/atom
# - Magnetic moment: 0.00 Bohr magnetons per cell


# Rb6InI8 | the Alexandria database | GGA-PBE | relaxed
data_Rb6InI8
_cell_length_a 10.7147
_cell_length_b 10.7147
_cell_length_c 7.7118
_cell_angle_alpha 90.00
_cell_angle_beta 90.00
_cell_angle_gamma 120.00
_symmetry_space_group_name_H-M 'P -3 1 m'
_symmetry_Int_Tables_number 162
_symmetry_space_group_name_Hall '-P 3 2'
loop_
_atom_site_label
_atom_site_type_symbol
_atom_site_fract_x
_atom_site_fract_y
_atom_site_fract_z
_atom_site_occupancy
Rb1 Rb 0.0000 0.3775 0.2193 1
In1 In 0.0000 0.0000 0.5000 1
I1 I 0.0000 0.2618 0.7114 1
I2 I 0.3333 0.6667 0.0000 1
# - Crystal system: trigonal
# - Energy relative to the elements, uncorrected: -1.234 eV per atom
# - Total DFT energy (no corrections): -39.45 eV per cell
# - Fermi-level density of states: 0.446 states/eV/atom
# - Magnetic moment: 0.00 Bohr magnetons per cell


# Rb3In4I8 | the Alexandria database | GGA-PBE | relaxed
data_Rb3In4I8
_cell_length_a 14.4046
_cell_length_b 14.4073
_cell_length_c 10.0667
_cell_angle_alpha 90.00
_cell_angle_beta 134.32
_cell_angle_gamma 90.00
_symmetry_space_group_name_H-M 'C 1 2/m 1'
_symmetry_Int_Tables_number 12
loop_
_symmetry_equiv_pos_as_xyz
'x,y,z'
'-x,-y,-z'
'-x,y,-z'
'x,-y,z'
'x+1/2,y+1/2,z'
'-x+1/2,-y+1/2,-z'
'-x+1/2,y+1/2,-z'
'x+1/2,-y+1/2,z'
loop_
_atom_site_label
_atom_site_type_symbol
_atom_site_fract_x
_atom_site_fract_y
_atom_site_fract_z
_atom_site_occupancy
Rb1 Rb 0.0000 0.0000 0.0000 1
Rb2 Rb 0.2500 0.2500 0.5000 1
In1 In 0.0000 0.5000 0.0000 1
In2 In 0.0000 0.5000 0.5000 1
In3 In 0.2500 0.2500 0.0000 1
I1 I 0.0000 0.2548 0.0000 1
I2 I 0.0000 0.2771 0.5000 1
I3 I 0.2161 0.5000 0.4898 1
I4 I 0.2199 0.5000 0.9488 1
# - Crystal system: monoclinic
# - Energy relative to the elements, uncorrected: -0.845 eV per atom
# - Total DFT energy (no corrections): -77.87 eV per cell
# - Fermi-level density of states: 0.408 states/eV/atom
# - Magnetic moment: 0.00 Bohr magnetons per cell


# RbIn6I8 | the Alexandria database | GGA-PBE | relaxed
data_RbIn6I8
_cell_length_a 12.1365
_cell_length_b 12.1365
_cell_length_c 5.1317
_cell_angle_alpha 90.00
_cell_angle_beta 90.00
_cell_angle_gamma 120.00
_symmetry_space_group_name_H-M 'P -3'
_symmetry_Int_Tables_number 147
loop_
_symmetry_equiv_pos_as_xyz
'x,y,z'
'-x,-y,-z'
'-y,x-y,z'
'y,-x+y,-z'
'-x+y,-x,z'
'x-y,x,-z'
loop_
_atom_site_label
_atom_site_type_symbol
_atom_site_fract_x
_atom_site_fract_y
_atom_site_fract_z
_atom_site_occupancy
Rb1 Rb 0.0000 0.0000 0.0000 1
In1 In 0.1369 0.6640 0.2479 1
I1 I 0.0269 0.3113 0.2513 1
I2 I 0.3333 0.6667 0.7497 1
# - Crystal system: trigonal
# - Energy relative to the elements, uncorrected: -0.553 eV per atom
# - Excess energy over the best structure of this formula in the dataset: 0.00 eV/f.u.
# - Total DFT energy (no corrections): -38.09 eV per cell
# - Fermi-level density of states: 0.432 states/eV/atom
# - Magnetic moment: 0.00 Bohr magnetons per cell